Here is a relaxed LaSc2Ir crystal from the Alexandria database. Energies are from PBE.

Cell: 4.2685 4.2685 19.9406 Å, 90.00 90.00 120.00°
Space group R-3m (No. 166, hexagonal axes)
Inequivalent atoms, fractional coordinates:
La 0.0000 0.0000 0.0000 [3 per cell]
Sc 0.0000 0.0000 0.2143 [6 per cell]
Ir 0.0000 0.0000 0.5000 [3 per cell]

Summary:
Magnetization (Bohr magnetons per cell): 0.0
E_form (meV per atom): -350
Relative energy among the computed polymorphs (meV per atom): 141